Density functional theory data (PBEsol) for a relaxed structure of Sm2AsSe. Values from VASP.

Properties
energy above the most stable polymorph in this dataset	0.0007	eV per atom
final energy	-26.207	eV for the cell shown
ΔE_f (raw)	-7.1	eV per formula unit

The structure in Quantum ESPRESSO input format:
```
&SYSTEM
  ibrav = 0, nat = 4, ntyp = 3
/
ATOMIC_SPECIES
Se 78.96 Se.upf
As 74.92 As.upf
Sm 150.36 Sm.upf
CELL_PARAMETERS angstrom
-0.360 1.521 7.007
-1.657 -2.376 6.569
2.387 -1.535 6.594
ATOMIC_POSITIONS crystal
Se 0.500 0.500 0.500
As 0.000 0.000 0.000
Sm 0.747 0.747 0.747
Sm 0.253 0.253 0.253
```


Density functional theory data (PBEsol) for a relaxed structure of SmAsSe. Values from VASP.

Properties
final energy	-37.045	eV for the cell shown
ΔE_f (raw)	-4.5	eV per formula unit

The structure in Quantum ESPRESSO input format:
```
&SYSTEM
  ibrav = 0, nat = 6, ntyp = 3
/
ATOMIC_SPECIES
As 74.92 As.upf
Sm 150.36 Sm.upf
Se 78.96 Se.upf
CELL_PARAMETERS angstrom
3.918 0.000 0.000
0.000 3.918 0.000
0.000 0.000 8.777
ATOMIC_POSITIONS crystal
As 0.500 0.500 0.000
As 0.000 0.000 0.000
Sm 0.500 0.000 0.276
Sm 0.000 0.500 0.724
Se 0.000 0.500 0.375
Se 0.500 0.000 0.625
```


Density functional theory data (PBEsol) for a relaxed structure of Sm2AsSe. Values from VASP.

Properties
energy above the most stable polymorph in this dataset	0.0066	eV per atom
final energy	-26.184	eV for the cell shown
ΔE_f (raw)	-7.0	eV per formula unit

The structure in Quantum ESPRESSO input format:
```
&SYSTEM
  ibrav = 0, nat = 4, ntyp = 3
/
ATOMIC_SPECIES
Se 78.96 Se.upf
Sm 150.36 Sm.upf
As 74.92 As.upf
CELL_PARAMETERS angstrom
-2.254 -2.849 -1.971
1.095 -2.817 2.819
-4.636 1.432 3.231
ATOMIC_POSITIONS crystal
Se 0.500 0.500 0.500
Sm 0.000 0.000 0.500
Sm 0.500 0.500 0.000
As 0.000 0.000 0.000
```


Density functional theory data (PBEsol) for a relaxed structure of SmAsSe. Values from VASP.

Properties
final energy	-74.240	eV for the cell shown
ΔE_f (raw)	-4.5	eV per formula unit

The structure in Quantum ESPRESSO input format:
```
&SYSTEM
  ibrav = 0, nat = 12, ntyp = 3
/
ATOMIC_SPECIES
Sm 150.36 Sm.upf
Se 78.96 Se.upf
As 74.92 As.upf
CELL_PARAMETERS angstrom
-0.350 1.063 -3.746
-3.920 0.322 0.458
1.922 16.857 4.603
ATOMIC_POSITIONS crystal
Sm 0.250 0.230 0.861
Sm 0.750 0.730 0.639
Sm 0.750 0.770 0.139
Sm 0.250 0.270 0.361
Se 0.750 0.768 0.312
Se 0.250 0.232 0.688
Se 0.750 0.732 0.812
Se 0.250 0.268 0.188
As 0.750 0.211 0.502
As 0.750 0.289 0.002
As 0.250 0.789 0.498
As 0.250 0.711 0.998
```


Density functional theory data (PBEsol) for a relaxed structure of Sm2AsSe. Values from VASP.

Properties
energy above the most stable polymorph in this dataset	0.0000	eV per atom
final energy	-52.420	eV for the cell shown
ΔE_f (raw)	-7.1	eV per formula unit

The structure in Quantum ESPRESSO input format:
```
&SYSTEM
  ibrav = 0, nat = 8, ntyp = 3
/
ATOMIC_SPECIES
Sm 150.36 Sm.upf
As 74.92 As.upf
Se 78.96 Se.upf
CELL_PARAMETERS angstrom
5.840 0.000 0.000
0.000 5.840 0.000
-2.920 -2.920 5.858
ATOMIC_POSITIONS crystal
Sm 0.254 0.254 0.509
Sm 0.746 0.746 0.491
Sm 0.504 0.004 0.009
Sm 0.996 0.496 0.991
As 0.750 0.250 0.500
As 0.500 0.500 0.000
Se 0.000 0.000 0.000
Se 0.250 0.750 0.500
```


Density functional theory data (PBEsol) for a relaxed structure of TcSnAs2Se. Values from VASP.

Properties
final energy	-27.959	eV for the cell shown
ΔE_f (raw)	1.6	eV per formula unit

The structure in Quantum ESPRESSO input format:
```
&SYSTEM
  ibrav = 0, nat = 5, ntyp = 4
/
ATOMIC_SPECIES
Tc 98.00 Tc.upf
Se 78.96 Se.upf
As 74.92 As.upf
Sn 118.71 Sn.upf
CELL_PARAMETERS angstrom
-3.638 0.841 -2.749
-1.010 -4.525 -0.049
-3.115 0.648 4.320
ATOMIC_POSITIONS crystal
Tc 0.000 0.000 0.000
Se 0.000 0.000 0.500
As 0.000 0.500 0.000
As 0.500 0.000 0.000
Sn 0.500 0.500 0.500
```